The following is a DFT calculation (PBE) of a relaxed structure of Cr2SiSb.

The calculation puts the volume at 61.57 Å³ per cell. For the theoretical density, the calculation gives 6.8 g cm⁻³. As for the crystal system: monoclinic. Its uncorrected formation energy is 0.28 eV/atom. The calculation puts the total energy at -6.922 eV per atom. As for the distance to the lowest polymorph of the same formula: 115 meV/atom. The density of states at the Fermi level is 2.67 states/eV/f.u.

The structure belongs to space group P2/m (No. 10); the cell edges are 2.9951, 3.5049 and 5.9572 Å and the angles 90.00°, 100.07° and 90.00°. The inequivalent atoms are Cr at (0.0443, 0.0000, 0.2777), Si at (0.5000, 0.5000, 0.5000) and Sb at (0.5000, 0.5000, 0.0000).

The following is a DFT calculation (PBE) of a relaxed structure of Sn2SbS.

The calculation puts the volume at 393.13 Å³ per cell. For the theoretical density, the calculation gives 6.6 g cm⁻³. As for the crystal system: cubic. Its uncorrected formation energy is 0.06 eV/atom. The calculation puts the total energy at -4.002 eV per atom. As for the distance to the lowest polymorph of the same formula: 168 meV/atom. The density of states at the Fermi level is 2.90 states/eV/f.u.

The structure belongs to space group Fm-3m (No. 225); the cell edges are 7.3256, 7.3256 and 7.3256 Å and the angles 90.00°, 90.00° and 90.00°. The inequivalent atoms are Sn at (0.2500, 0.2500, 0.2500), Sb at (0.0000, 0.0000, 0.0000) and S at (0.0000, 0.0000, 0.5000).